# CaNb2H

A relaxed CaNb2H crystal (GGA-PBE, the Alexandria database).

Values from the calculation:
The electronic total energy comes out at -24.54 eV/f.u. The density comes out at 5.14 g/cm3. As for the total moment: 0.0 μB per formula unit. Its space group is No. 5.

a = 6.612 Å, b = 6.009 Å, c = 8.861 Å
α = 90.00°, β = 123.66°, γ = 90.00°
Fractional positions:
1 Nb 0.500 0.059 0.500
2 H 0.669 0.125 0.374
3 Nb 0.639 0.796 0.317
4 H 0.331 0.125 0.626
5 Ca 0.035 0.305 0.688
6 Ca 0.965 0.805 0.812
7 H 0.331 0.625 0.126
8 Ca 0.965 0.305 0.312
9 Nb 0.639 0.296 0.817
10 Nb 0.500 0.559 0.000
11 Nb 0.500 0.549 0.500
12 H 0.669 0.625 0.874
13 Ca 0.035 0.805 0.188
14 Nb 0.500 0.049 0.000
15 Nb 0.361 0.296 0.183
16 Nb 0.361 0.796 0.683